A relaxed RbNa2Si17 crystal, computed with GGA-PBEsol.

Properties
* volume: 19.94 A^3/atom
* energy relative to the elements, uncorrected: -0.0644 eV/atom
* theoretical density: 2.54 g/cm3

Cell: 10.409 10.409 10.409 Å, 60.00 60.00 60.00°
Sites, in units of the cell vectors:
Rb: 0.125 0.125 0.125
Rb: 0.875 0.875 0.875
Na: 0.000 0.500 0.500
Na: 0.500 0.000 0.500
Na: 0.500 0.500 0.000
Na: 0.500 0.500 0.500
Si: 0.129 0.129 0.506
Si: 0.129 0.129 0.735
Si: 0.129 0.506 0.129
Si: 0.129 0.506 0.735
Si: 0.129 0.735 0.129
Si: 0.129 0.735 0.506
Si: 0.265 0.494 0.871
Si: 0.265 0.871 0.494
Si: 0.265 0.871 0.871
Si: 0.282 0.282 0.282
Si: 0.282 0.282 0.653
Si: 0.282 0.653 0.282
Si: 0.347 0.718 0.718
Si: 0.375 0.375 0.375
Si: 0.494 0.265 0.871
Si: 0.494 0.871 0.265
Si: 0.494 0.871 0.871
Si: 0.506 0.129 0.129
Si: 0.506 0.129 0.735
Si: 0.506 0.735 0.129
Si: 0.625 0.625 0.625
Si: 0.653 0.282 0.282
Si: 0.718 0.347 0.718
Si: 0.718 0.718 0.347
Si: 0.718 0.718 0.718
Si: 0.735 0.129 0.129
Si: 0.735 0.129 0.506
Si: 0.735 0.506 0.129
Si: 0.871 0.265 0.494
Si: 0.871 0.265 0.871
Si: 0.871 0.494 0.265
Si: 0.871 0.494 0.871
Si: 0.871 0.871 0.265
Si: 0.871 0.871 0.494


A relaxed Rb2NaTiSi crystal, computed with GGA-PBEsol.

Properties
* volume: 47.43 A^3/atom
* energy relative to the elements, uncorrected: 1.5041 eV/atom
* theoretical density: 1.89 g/cm3

Cell: 6.363 6.363 5.857 Å, 90.00 90.00 90.00°
Sites, in units of the cell vectors:
Rb: 0.000 0.500 0.000
Rb: 0.500 0.000 0.000
Na: 0.000 0.000 0.500
Ti: 0.000 0.000 0.000
Si: 0.500 0.500 0.500


A relaxed RbNa2Sn2 crystal, computed with GGA-PBEsol.

Properties
* ΔE_f: -123 meV/atom
* volume: 35.02 A^3/atom
* theoretical density: 3.50 g/cm3

Cell: 6.666 6.666 6.666 Å, 128.80 128.80 75.33°
Sites, in units of the cell vectors:
Rb: 0.000 0.000 0.000
Na: 0.250 0.750 0.500
Na: 0.750 0.250 0.500
Sn: 0.373 0.373 0.000
Sn: 0.627 0.627 0.000


Number 1 is which compound? RbNa2Si17


Which formula does entry 2 have? Rb2NaTiSi


The lowest volume belongs to which entry? RbNa2Si17


Number 1 is which compound? RbNa2Si17